No. 1
Material: Na2DyHfTe4
Method: DFT, GGA-PBE
State: relaxed

abc: 7.3900 4.2323 8.0479
angles: 90.00 107.52 90.00
Element x y z (fractional)
Na 0.0000 0.0000 0.0000
Na 0.5000 0.5000 0.0000
Dy 0.0000 0.5000 0.5000
Hf 0.5000 0.0000 0.5000
Te 0.2563 0.0000 0.7308
Te 0.2713 0.5000 0.2763
Te 0.7287 0.5000 0.7237
Te 0.7437 0.0000 0.2692

Summary:
Raw total energy ... -4.767 eV per atom
Magnetization ... 0.00 μB per formula unit
Raw formation energy ... -1.047 eV per atom
DOS(E_F) ... 0.366 states/eV/atom

No. 2
Material: DyHfNb
Method: DFT, GGA-PBE
State: relaxed

abc: 15.2470 15.2470 15.2470
angles: 12.41 12.41 12.41
Element x y z (fractional)
Dy 0.1321 0.1321 0.1321
Dy 0.8679 0.8679 0.8679
Hf 0.4054 0.4054 0.4054
Hf 0.5946 0.5946 0.5946
Nb 0.3116 0.3116 0.3116
Nb 0.6884 0.6884 0.6884

Summary:
Raw total energy ... -7.976 eV per atom
Magnetization ... 0.00 μB per formula unit
Energy of formation from the pure elements ... 0.232 eV/atom
DOS(E_F) ... 1.260 states/eV/atom

No. 3
Material: DyHfNb4
Method: DFT, GGA-PBE
State: relaxed

abc: 5.6233 5.6233 5.6233
angles: 60.00 60.00 60.00
Element x y z (fractional)
Dy 0.0000 0.0000 0.0000
Hf 0.2500 0.2500 0.2500
Nb 0.1251 0.6250 0.6250
Nb 0.6250 0.1251 0.6250
Nb 0.6250 0.6250 0.1251
Nb 0.6250 0.6250 0.6250

Summary:
Raw total energy ... -9.001 eV per atom
Magnetization ... 0.00 μB per formula unit
Energy of formation from the pure elements ... 0.138 eV/atom
DOS(E_F) ... 1.837 states/eV/atom

Copy entry 2 word for word.
Material: DyHfNb
Method: DFT, GGA-PBE
State: relaxed

abc: 15.2470 15.2470 15.2470
angles: 12.41 12.41 12.41
Element x y z (fractional)
Dy 0.1321 0.1321 0.1321
Dy 0.8679 0.8679 0.8679
Hf 0.4054 0.4054 0.4054
Hf 0.5946 0.5946 0.5946
Nb 0.3116 0.3116 0.3116
Nb 0.6884 0.6884 0.6884

Summary:
Raw total energy ... -7.976 eV per atom
Magnetization ... 0.00 μB per formula unit
Energy of formation from the pure elements ... 0.232 eV/atom
DOS(E_F) ... 1.260 states/eV/atom